1.
Compound: MgZr3Sc
Source: Alexandria via LeMat-Bulk
Functional: GGA-PBE
Structure: relaxed

abc: 5.280 14.479 6.283
angles: 90.00 90.00 90.00
Space group Cmcm (No. 63)
Asymmetric unit:
Mg 0.000 0.000 0.250 x4
Zr 0.000 0.196 0.001 x8
Zr 0.000 0.377 0.750 x4
Sc 0.000 0.386 0.250 x4

formation energy from the elements = 0.4 eV/f.u.
V = 480.3 Å³ per cell
calculated total energy = -0.4872 Ry per atom

2.
Compound: Np3AgO9
Source: Alexandria via LeMat-Bulk
Functional: GGA-PBE
Structure: relaxed

abc: 8.0038 8.0038 4.1368
angles: 90.00 90.00 120.00
Space group P6/mmm (No. 191)
Asymmetric unit:
Np 0.0000 0.5000 0.0000 x3
Ag 0.0000 0.0000 0.5000 x1
O 0.0000 0.5000 0.5000 x3
O 0.2072 0.4145 0.0000 x6

V = 229.5 Å³ per cell
E_form (uncorrected) = -2384 meV per atom
calculated total energy = -0.6632 Ry per atom

3.
Compound: PmEr5Mg6
Source: Alexandria via LeMat-Bulk
Functional: GGA-PBE
Structure: relaxed

abc: 5.349 16.064 7.541
angles: 90.00 90.00 90.00
Space group Cmmm (No. 65)
Asymmetric unit:
Pm 0.000 0.000 0.000 x2
Er 0.000 0.000 0.500 x2
Er 0.000 0.332 0.000 x4
Er 0.000 0.335 0.500 x4
Mg 0.000 0.168 0.252 x8
Mg 0.000 0.500 0.252 x4

formation energy from the elements = -0.9 eV/f.u.
V = 648.0 Å³ per cell
calculated total energy = -0.2328 Ry per atom

Q: What is the calculated total energy in the second record?
A: -0.6632 Ry per atom